Below is an optimized crystal structure of MgSi2I, with properties calculated at the PBE level.

Energy relative to the elements, uncorrected = 74.4 kJ per mole of atoms
Spin magnetization = 0.00 μB per atom
Energy above the most stable polymorph in this dataset = 0 meV/atom
SG = Fm-3m, No. 225

Unit cell a=4.996 b=4.996 c=4.996 alpha=60.00 beta=60.00 gamma=60.00
Atoms (fractional coordinates):
1 Mg 0.000 0.000 0.000
2 Si 0.250 0.250 0.250
3 Si 0.750 0.750 0.750
4 I 0.500 0.500 0.500